# 1
Crystalline PaFe2SiC at its relaxed geometry, computed with GGA-PBE.

Properties
Volume ... 13.33 Å³ per atom
Total moment ... 0.00 μB/cell
ΔE_f (raw) ... -0.5173 eV/atom
Theoretical density ... 9.54 g/cm³
N(E_F) ... 8.5 states/eV/cell
E ... -8.73 eV per atom

Structure (extended XYZ):
```
10
Lattice="1.882 -5.334 0.000 1.882 5.334 0.000 0.000 0.000 6.639" Properties=species:S:1:pos:R:3 pbc="T T T"
Pa 1.882 4.679 4.979
Pa 1.882 -4.679 1.660
Fe 1.882 1.750 3.686
Fe 1.882 1.750 6.272
Fe 1.882 -1.750 0.367
Fe 1.882 -1.750 2.952
Si 1.882 2.973 1.660
Si 1.882 -2.973 4.979
C 1.882 0.000 0.000
C 1.882 0.000 3.319
```

=====

# 2
Crystalline Sr3Pm4Sn4 at its relaxed geometry, computed with GGA-PBE.

Properties
Volume ... 35.00 Å³ per atom
Total moment ... 0.00 μB/cell
Theoretical density ... 5.68 g/cm³
N(E_F) ... 8.2 states/eV/cell
E ... -4.16 eV per atom

Structure (extended XYZ):
```
11
Lattice="-2.605 4.183 8.832 2.605 -4.183 8.832 2.605 4.183 -8.832" Properties=species:S:1:pos:R:3 pbc="T T T"
Sr 0.000 0.000 0.000
Sr 2.605 0.000 6.928
Sr 0.000 4.183 1.904
Pm 2.605 1.765 -3.033
Pm 2.605 1.765 3.033
Pm 0.000 2.418 5.799
Pm 0.000 2.418 11.866
Sn 0.000 0.000 3.573
Sn 2.605 2.594 0.000
Sn 0.000 1.589 8.832
Sn 0.000 0.000 14.091
```